# Ag2PtAu9

Ag2PtAu9 after structural relaxation (PBE, Alexandria via LeMat-Bulk).

a = 4.149 Å, b = 4.149 Å, c = 12.354 Å
α = 90.00°, β = 90.00°, γ = 90.00°
Fractional coordinates of all 12 atoms:
Ag 0.000 0.000 0.331
Ag 0.000 0.000 0.669
Pt 0.000 0.000 0.000
Au 0.500 0.500 0.000
Au 0.500 0.500 0.332
Au 0.500 0.500 0.668
Au 0.500 0.000 0.164
Au 0.500 0.000 0.500
Au 0.500 0.000 0.836
Au 0.000 0.500 0.164
Au 0.000 0.500 0.500
Au 0.000 0.500 0.836

Values from the calculation:
energy of formation	-8	meV/atom
space-group type	P4/mmm, No. 123
total energy	-41.331	eV for the cell shown